# 1
## Ta2FeNi (GGA-PBE)

Data for a relaxed Ta2FeNi crystal.

Unit cell a=8.9254 b=2.9288 c=4.5388 alpha=90.00 beta=101.32 gamma=90.00
With the nearest neighbours (Å) after each atom.
Space group Cm (No. 8)
Symmetry-distinct sites (fractional):
Ta 0.0000 0.0000 0.0000  3 Fe 2.55-2.67, 4 Ni 2.63-2.78, 1 Ta 2.82
Ta 0.2297 0.0000 0.6544  3 Ni 2.56-2.62, 4 Fe 2.60-2.82, 1 Ta 2.82
Fe 0.2499 0.5000 0.1906  7 Ta 2.55-2.82, 2 Ni 2.67
Ni 0.4848 0.0000 0.4755  7 Ta 2.56-2.78, 2 Fe 2.67

Properties
V (Å³ per cell): 116
Energy relative to the elements (eV per atom): -0.0273
Total energy (eV/atom): -9.515

=====

# 2
## PrDyEr2 (GGA-PBE)

Data for a relaxed PrDyEr2 crystal.

Unit cell a=3.5701 b=3.5701 c=10.0848 alpha=90.00 beta=90.00 gamma=90.00
With the nearest neighbours (Å) after each atom.
Space group P4/mmm (No. 123)
Symmetry-distinct sites (fractional):
Pr 0.0000 0.0000 0.0000  4 Pr 3.57, 8 Er 3.61
Dy 0.0000 0.0000 0.5000  8 Er 3.53, 4 Dy 3.57
Er 0.5000 0.5000 0.2558  4 Dy 3.53, 4 Er 3.57, 4 Pr 3.61

Properties
Relative energy among the computed polymorphs (kcal/mol of atoms): 0.242
V (Å³ per cell): 129
Energy relative to the elements (eV per atom): 0.0269
Total energy (eV/atom): -4.600

=====

# 3
## NpGa4Ni2Pt (GGA-PBE)

Data for a relaxed NpGa4Ni2Pt crystal.

Unit cell a=4.1532 b=4.1532 c=26.3738 alpha=90.00 beta=90.00 gamma=120.00
With the nearest neighbours (Å) after each atom.
Space group R-3m (No. 166, hexagonal axes)
Symmetry-distinct sites (fractional):
Np 0.0000 0.0000 0.0000  8 Ga 2.97-3.30
Ga 0.0000 0.0000 0.1249  3 Ni 2.47, 3 Pt 2.64
Ga 0.0000 0.0000 0.3996  3 Ni 2.58, 1 Pt 2.65, 3 Ga 2.85
Ni 0.0000 0.0000 0.2313  6 Ga 2.47-2.58
Pt 0.0000 0.0000 0.5000  8 Ga 2.64-2.65, 6 Ni 2.94

Properties
V (Å³ per cell): 394
Energy relative to the elements (eV per atom): -0.2949
Total energy (eV/atom): -5.626

=====

# 4
## CrNi2Os (GGA-PBE)

Data for a relaxed CrNi2Os crystal.

Unit cell a=2.5502 b=3.7517 c=5.0352 alpha=90.00 beta=90.00 gamma=90.00
With the nearest neighbours (Å) after each atom.
Space group Pmmm (No. 47)
Symmetry-distinct sites (fractional):
Cr 0.0000 0.0000 0.0000  2 Os 2.52, 2 Cr 2.55, 8 Ni 2.59
Ni 0.5000 0.5000 0.2477  4 Ni 2.49-2.55, 4 Cr 2.59, 4 Os 2.60
Os 0.0000 0.0000 0.5000  2 Cr 2.52, 2 Os 2.55, 8 Ni 2.60

Properties
Relative energy among the computed polymorphs (kcal/mol of atoms): 2.128
V (Å³ per cell): 48
Energy relative to the elements (eV per atom): 0.1204
Total energy (eV/atom): -7.984